BaHfIn2Se | PBE | optimized geometry

a b c (Å): 5.652 5.652 5.166
angles (deg): 90.00 90.00 90.00
Element x y z (fractional)
Ba  0.000  0.000  0.000
Hf  0.500  0.500  0.500
In  0.000  0.500  0.500
In  0.500  0.000  0.500
Se  0.500  0.500  0.000

- Fermi-level density of states: 2.9 states/eV per cell
- Spin magnetization: 0.0 μB per formula unit
- Symmetry: P4/mmm, No. 123
- Formation energy from raw total energies: -398 meV/atom
- Energy: -4.5652 eV/atom